{
  "formula": "ReAg2Te",
  "functional": "PBE",
  "state": "relaxed",
  "crystal_system": "monoclinic",
  "total_magnetization_mub_per_fu": 0.0,
  "raw_formation_energy_mev_per_atom": 613,
  "spacegroup": "No. 8",
  "total_energy_ev_per_cell": -18.84,
  "lattice_angstrom": [[4.776, -1.625, 0.000], [4.776, 1.625, 0.000], [-3.139, 0.000, 5.122]],
  "species": ["Re", "Ag", "Ag", "Te"],
  "frac_coords": [[0.000, 0.000, 0.000], [0.489, 0.489, 0.601], [0.714, 0.714, 0.440], [0.298, 0.298, 0.034]]
}